# Fe5Ir2Rh | the Alexandria database | GGA-PBE | relaxed
data_Fe5Ir2Rh
_space_group_name_H-M_alt 'P 1'
_space_group_IT_number 1
_cell_length_a 5.178
_cell_length_b 5.178
_cell_length_c 5.178
_cell_angle_alpha 109.70
_cell_angle_beta 109.36
_cell_angle_gamma 109.36
loop_
_space_group_symop_operation_xyz
'x,y,z'
loop_
_atom_site_label
_atom_site_fract_x
_atom_site_fract_y
_atom_site_fract_z
Ir1 0.500 0.778 0.278
Ir2 0.500 0.278 0.778
Fe1 0.000 0.778 0.278
Fe2 0.500 0.278 0.278
Fe3 0.000 0.278 0.778
Fe4 0.500 0.778 0.778
Fe5 0.000 0.278 0.278
Rh1 0.000 0.778 0.778
# Energy ... -8.437 eV/atom
# SG ... I4/mmm
# Total magnetization ... 17.921 μB per formula unit
# ρ ... 11.91 Mg/m³